## BeV (GGA-PBE)

Data for a relaxed structure of BeV.

Properties
**DOS(E_F)**: 9.11 states/eV per cell
**Energy**: -6.333 eV/atom
**Crystal system**: hexagonal
**Energy relative to the elements**: 2.1 kcal/mol of atoms

a b c (Å): 6.8107 6.8107 3.3356
angles (deg): 90.00 90.00 120.00
Space group P6_3/mmc (No. 194)
Unique sites:
1 Be 0.1216 0.5608 0.2500 x6
2 V 0.1595 0.3190 0.7500 x6

=====

## BeV4 (GGA-PBE)

Data for a relaxed structure of BeV4.

Properties
**DOS(E_F)**: 3.41 states/eV per cell
**Energy**: -7.339 eV/atom
**Crystal system**: cubic
**Energy relative to the elements**: 16.2 kcal/mol of atoms
**E above lowest polymorph**: 0.3740 eV per atom

a b c (Å): 4.093 4.093 4.093
angles (deg): 90.00 90.00 90.00
Space group Pm-3m (No. 221)
Unique sites:
1 Be 0.000 0.000 0.000 x1
2 V 0.000 0.000 0.500 x3
3 V 0.500 0.500 0.500 x1

=====

## BeV3 (GGA-PBE)

Data for a relaxed structure of BeV3.

Properties
**DOS(E_F)**: 4.46 states/eV per cell
**Energy**: -7.471 eV/atom
**Crystal system**: orthorhombic
**Energy relative to the elements**: 6.9 kcal/mol of atoms
**E above lowest polymorph**: 0.3038 eV per atom

a b c (Å): 2.377 2.507 8.567
angles (deg): 90.00 90.00 90.00
Space group Pmm2 (No. 25)
Unique sites:
1 Be 0.000 0.000 0.000 x1
2 V 0.000 0.500 0.257 x1
3 V 0.500 0.000 0.510 x1
4 V 0.500 0.500 0.790 x1

=====

## Be2V (GGA-PBE)

Data for a relaxed structure of Be2V.

Properties
**DOS(E_F)**: 10.99 states/eV per cell
**Energy**: -5.751 eV/atom
**Crystal system**: hexagonal
**Energy relative to the elements**: -5.2 kcal/mol of atoms

a b c (Å): 4.3627 4.3627 7.0372
angles (deg): 90.00 90.00 120.00
Space group P6_3/mmc (No. 194)
Unique sites:
1 Be 0.0000 0.0000 0.0000 x2
2 Be 0.1713 0.3426 0.2500 x6
3 V 0.3333 0.6667 0.5677 x4

=====

## BeV (GGA-PBE)

Data for a relaxed structure of BeV.

Properties
**DOS(E_F)**: 5.26 states/eV per cell
**Energy**: -6.059 eV/atom
**Crystal system**: tetragonal
**Energy relative to the elements**: 8.4 kcal/mol of atoms

a b c (Å): 4.477 4.477 4.597
angles (deg): 90.00 90.00 90.00
Space group P4_2/mnm (No. 136)
Unique sites:
1 Be 0.168 0.168 0.000 x4
2 V 0.179 0.179 0.500 x4

=====

## BeV (GGA-PBE)

Data for a relaxed structure of BeV.

Properties
**DOS(E_F)**: 14.26 states/eV per cell
**Energy**: -6.148 eV/atom
**Crystal system**: tetragonal
**Energy relative to the elements**: 6.3 kcal/mol of atoms

a b c (Å): 7.389 7.389 3.403
angles (deg): 90.00 90.00 90.00
Space group P4/m (No. 83)
Unique sites:
1 Be 0.042 0.780 0.000 x4
2 Be 0.114 0.195 0.500 x4
3 V 0.141 0.566 0.500 x4
4 V 0.296 0.355 0.000 x4